Material: CuReHg2
Method: DFT, GGA-PBE
State: optimized geometry Values from VASP.

```
&SYSTEM
  ibrav = 0, nat = 4, ntyp = 3
/
ATOMIC_SPECIES
Re 186.21 Re.upf
Hg 200.59 Hg.upf
Cu 63.55 Cu.upf
CELL_PARAMETERS angstrom
-2.832 -0.335 -0.153
0.273 -1.117 -2.614
0.731 -7.719 3.375
ATOMIC_POSITIONS crystal
Re 0.500 0.500 0.250
Hg 0.000 0.000 0.987
Cu 0.500 0.500 0.750
Hg 0.000 0.000 0.513
```

## Properties
D(E_F)	3.083	states/eV/f.u.
calculated formation energy	2.8	eV/f.u.
space group	P4/mmm, No. 123
energy above the most stable polymorph in this dataset	0.160	eV/atom
spin magnetization	0.6	μB/cell
calculated density	15.7	Mg/m³